This record from the Alexandria database describes crystalline NaTaO3 at its relaxed geometry. The functional is PBE.

Results
As for the space group: P6_3/mmc. Its uncorrected energy is -7.689 eV per atom. The value obtained for the uncorrected formation energy is -2080 meV/atom.

a b c (Å): 3.5594 3.5594 12.9720
angles (deg): 90.00 90.00 120.00
Closest atoms and distances in Å follow each position.
Sites, in units of the cell vectors:
Na  0.0000  0.0000  0.0000  6 O 2.47
Na  0.0000  0.0000  0.5000  6 O 2.47
Ta  0.3333  0.6667  0.2500  5 O 1.87-2.06
Ta  0.6667  0.3333  0.7500  5 O 1.87-2.06
O  0.0000  0.0000  0.2500  3 Ta 2.06
O  0.0000  0.0000  0.7500  3 Ta 2.06
O  0.3333  0.6667  0.1057  1 Ta 1.87
O  0.3333  0.6667  0.3943  1 Ta 1.87
O  0.6667  0.3333  0.6057  1 Ta 1.87
O  0.6667  0.3333  0.8943  1 Ta 1.87

This record from the Alexandria database describes crystalline CsYPt2 at its relaxed geometry. The functional is PBE.

Results
As for the space group: Fm-3m. The formation energy comes out at -13.63 kJ per mole of atoms. For the energy above the most stable polymorph in this dataset, the calculation gives 64.1 meV per atom. Its uncorrected energy is -4.991 eV per atom.

a b c (Å): 5.1949 5.1949 5.1949
angles (deg): 60.00 60.00 60.00
Closest atoms and distances in Å follow each position.
Sites, in units of the cell vectors:
Cs  0.0000  0.0000  0.0000  8 Pt 3.18
Y  0.5000  0.5000  0.5000  8 Pt 3.18
Pt  0.2500  0.2500  0.2500  4 Y 3.18, 4 Cs 3.18
Pt  0.7500  0.7500  0.7500  4 Y 3.18, 4 Cs 3.18

This record from the Alexandria database describes crystalline La8Sm2Y at its relaxed geometry. The functional is PBE.

Results
As for the space group: C2/m. The formation energy comes out at 11.56 kJ per mole of atoms. For the energy above the most stable polymorph in this dataset, the calculation gives 103.9 meV per atom. Its uncorrected energy is -4.909 eV per atom.

a b c (Å): 9.6695 9.6695 6.1152
angles (deg): 105.83 105.83 122.33
Closest atoms and distances in Å follow each position.
Sites, in units of the cell vectors:
La  0.0958  0.3329  0.6849  3 La 3.29-3.65, 2 Sm 3.64-3.65
La  0.2060  0.7940  0.0000  1 Y 3.49, 4 Sm 3.54-3.88, 6 La 3.72-3.78
La  0.3329  0.0958  0.6849  3 La 3.29-3.65, 2 Sm 3.64-3.65
La  0.4218  0.4218  0.2007  3 La 3.08-3.29, 1 Y 3.39
La  0.5782  0.5782  0.7993  3 La 3.08-3.29, 1 Y 3.39
La  0.6671  0.9042  0.3151  3 La 3.29-3.65, 2 Sm 3.64-3.65
La  0.7940  0.2060  0.0000  1 Y 3.49, 4 Sm 3.54-3.88, 6 La 3.72-3.78
La  0.9042  0.6671  0.3151  3 La 3.29-3.65, 2 Sm 3.64-3.65
Sm  0.3108  0.6892  0.5000  10 La 3.54-3.88
Sm  0.6892  0.3108  0.5000  10 La 3.54-3.88
Y  0.0000  0.0000  0.0000  4 La 3.39-3.49

This record from the Alexandria database describes crystalline RbGa2Pt at its relaxed geometry. The functional is PBE.

Results
As for the space group: P4/mmm. The formation energy comes out at -21.18 kJ per mole of atoms. Its uncorrected energy is -3.485 eV per atom.

a b c (Å): 3.3239 3.3239 8.3050
angles (deg): 90.00 90.00 90.00
Closest atoms and distances in Å follow each position.
Sites, in units of the cell vectors:
Rb  0.0000  0.0000  0.0000  4 Rb 3.32, 8 Ga 3.60
Ga  0.5000  0.5000  0.3291  4 Pt 2.75, 1 Ga 2.84
Ga  0.5000  0.5000  0.6709  4 Pt 2.75, 1 Ga 2.84
Pt  0.0000  0.0000  0.5000  8 Ga 2.75

This record from the Alexandria database describes crystalline NdThSbN at its relaxed geometry. The functional is PBE.

Results
As for the space group: R-3m. Its uncorrected energy is -7.153 eV per atom. The value obtained for the uncorrected formation energy is -994 meV/atom.

a b c (Å): 14.9985 14.9985 14.9985
angles (deg): 15.64 15.64 15.64
Closest atoms and distances in Å follow each position.
Sites, in units of the cell vectors:
Nd  0.2406  0.2406  0.2406  1 N 2.24
Nd  0.7594  0.7594  0.7594  1 N 2.24
Th  0.0000  0.0000  0.0000  6 Sb 3.15
Th  0.5000  0.5000  0.5000  6 N 2.58
Sb  0.3802  0.3802  0.3802  3 Nd 3.12, 3 Th 3.15
Sb  0.6198  0.6198  0.6198  3 Nd 3.12, 3 Th 3.15
N  0.1902  0.1902  0.1902  1 Nd 2.24
N  0.8098  0.8098  0.8098  1 Nd 2.24

This record from the Alexandria database describes crystalline InNiBRh2 at its relaxed geometry. The functional is PBE.

Results
As for the space group: P4/mmm. The formation energy comes out at -35.89 kJ per mole of atoms. Its uncorrected energy is -6.352 eV per atom.

a b c (Å): 4.1485 4.1485 3.9339
angles (deg): 90.00 90.00 90.00
Closest atoms and distances in Å follow each position.
Sites, in units of the cell vectors:
In  0.0000  0.0000  0.0000  8 Rh 2.86, 4 Ni 2.93
Ni  0.5000  0.5000  0.0000  2 B 1.97
B  0.5000  0.5000  0.5000  2 Ni 1.97, 4 Rh 2.07
Rh  0.0000  0.5000  0.5000  2 B 2.07
Rh  0.5000  0.0000  0.5000  2 B 2.07

This record from the Alexandria database describes crystalline P2H7Cl2 at its relaxed geometry. The functional is PBE.

Results
As for the space group: C2/m. Its uncorrected energy is -3.528 eV per atom.

a b c (Å): 5.8111 5.8111 4.2570
angles (deg): 99.21 99.21 98.31
Closest atoms and distances in Å follow each position.
Sites, in units of the cell vectors:
P  0.2007  0.2007  0.4158  3 H 1.41-1.43
P  0.7993  0.7993  0.5842  3 H 1.41-1.43
H  0.0000  0.0000  0.5000  2 P 1.65
H  0.1571  0.4075  0.6113  1 P 1.43
H  0.2924  0.2924  0.1661  1 P 1.41
H  0.4075  0.1571  0.6113  1 P 1.43
H  0.5925  0.8429  0.3887  1 P 1.43
H  0.7076  0.7076  0.8339  1 P 1.41
H  0.8429  0.5925  0.3887  1 P 1.43
Cl  0.2151  0.7849  0.0000  2 H 2.47
Cl  0.7849  0.2151  0.0000  2 H 2.47

This record from the Alexandria database describes crystalline TiSi2Ru at its relaxed geometry. The functional is PBE.

Results
As for the space group: Fm-3m. Its uncorrected energy is -7.404 eV per atom. The value obtained for the uncorrected formation energy is -399 meV/atom.

a b c (Å): 4.2725 4.2725 4.2725
angles (deg): 60.00 60.00 60.00
Closest atoms and distances in Å follow each position.
Sites, in units of the cell vectors:
Ti  0.0000  0.0000  0.0000  8 Si 2.62
Si  0.2500  0.2500  0.2500  4 Ru 2.62, 4 Ti 2.62
Si  0.7500  0.7500  0.7500  4 Ti 2.62, 4 Ru 2.62
Ru  0.5000  0.5000  0.5000  8 Si 2.62